(1)
DFT (GGA-PBE) results for a geometry-optimized TbGaCo2C structure.

a = 5.6302 Å, b = 5.6302 Å, c = 6.9043 Å
α = 90.00°, β = 90.00°, γ = 140.27°
Closest atoms and distances in Å follow each position.
Positions (direct):
Tb: 0.0516 0.9484 0.7500  4 C 2.63
Tb: 0.9484 0.0516 0.2500  4 C 2.63
Ga: 0.2286 0.7714 0.2500  6 Co 2.43-2.44
Ga: 0.7714 0.2286 0.7500  6 Co 2.43-2.44
Co: 0.3396 0.6604 0.5598  1 C 1.75
Co: 0.3396 0.6604 0.9402  1 C 1.75
Co: 0.6604 0.3396 0.0598  1 C 1.75
Co: 0.6604 0.3396 0.4402  1 C 1.75
C: 0.5000 0.5000 0.0000  2 Co 1.75
C: 0.5000 0.5000 0.5000  2 Co 1.75

Calculated values
**Crystal system**: orthorhombic
**Energy of formation**: -0.38 eV per atom
**Final energy**: -6.601 eV/atom


(2)
DFT (GGA-PBE) results for a geometry-optimized Cs2Cd6HgAu structure.

a = 7.8939 Å, b = 7.8865 Å, c = 7.8756 Å
α = 60.11°, β = 60.01°, γ = 59.88°
Closest atoms and distances in Å follow each position.
Positions (direct):
Cs: 0.2500 0.2500 0.2500  12 Cd 3.94-3.95
Cs: 0.7500 0.7500 0.7500  12 Cd 3.94-3.95
Cd: 0.2451 0.2451 0.7549  1 Au 2.74, 1 Hg 2.85
Cd: 0.2452 0.7548 0.2452  1 Au 2.73, 1 Hg 2.84
Cd: 0.2452 0.7548 0.7548  1 Au 2.73, 1 Hg 2.83
Cd: 0.7548 0.2452 0.2452  1 Au 2.73, 1 Hg 2.83
Cd: 0.7548 0.2452 0.7548  1 Au 2.73, 1 Hg 2.84
Cd: 0.7549 0.7549 0.2451  1 Au 2.74, 1 Hg 2.85
Hg: 0.5000 0.5000 0.5000  6 Cd 2.83-2.85
Au: 0.0000 0.0000 0.0000  6 Cd 2.73-2.74

Calculated values
**Crystal system**: orthorhombic
**Energy of formation**: -0.04 eV per atom
**Final energy**: -1.120 eV/atom


(3)
DFT (GGA-PBE) results for a geometry-optimized RbZrB structure.

a = 3.9618 Å, b = 3.9618 Å, c = 6.4107 Å
α = 90.00°, β = 90.00°, γ = 120.00°
Closest atoms and distances in Å follow each position.
Positions (direct):
Rb: 0.0000 0.0000 0.0000  6 Zr 3.94, 6 B 3.94, 6 Rb 3.96
Zr: 0.6667 0.3333 0.5000  3 B 2.29
B: 0.3333 0.6667 0.5000  3 Zr 2.29

Calculated values
**Crystal system**: hexagonal
**Energy of formation**: 0.76 eV per atom
**Final energy**: -4.636 eV/atom


(4)
DFT (GGA-PBE) results for a geometry-optimized Ti2PPd8 structure.

a = 7.6106 Å, b = 7.6106 Å, c = 7.6106 Å
α = 145.61°, β = 136.91°, γ = 56.26°
Closest atoms and distances in Å follow each position.
Positions (direct):
Ti: 0.1899 0.1899 0.0000  12 Pd 2.74-2.91
Ti: 0.8101 0.8101 0.0000  12 Pd 2.74-2.91
P: 0.5000 0.5000 0.0000  4 Pd 2.28
Pd: 0.1100 0.3681 0.7419  1 P 2.28
Pd: 0.2504 0.0000 0.2504  2 P 2.65, 8 Pd 2.79-2.93, 2 Ti 2.91
Pd: 0.3079 0.8079 0.5000  8 Pd 2.72-2.93, 4 Ti 2.75-2.80
Pd: 0.3738 0.6319 0.7419  1 P 2.28
Pd: 0.6262 0.3681 0.2581  1 P 2.28
Pd: 0.6921 0.1921 0.5000  8 Pd 2.72-2.93, 4 Ti 2.75-2.80
Pd: 0.7496 0.0000 0.7496  2 P 2.65, 8 Pd 2.79-2.93, 2 Ti 2.91
Pd: 0.8900 0.6319 0.2581  1 P 2.28

Calculated values
**Crystal system**: orthorhombic
**Energy of formation**: -0.56 eV per atom
**Final energy**: -6.269 eV/atom


(5)
DFT (GGA-PBE) results for a geometry-optimized CsIn2TcSb structure.

a = 5.3822 Å, b = 5.3822 Å, c = 5.2302 Å
α = 90.00°, β = 90.00°, γ = 90.00°
Closest atoms and distances in Å follow each position.
Positions (direct):
Cs: 0.0000 0.0000 0.0000  8 In 3.75, 4 Sb 3.81
In: 0.0000 0.5000 0.5000  2 Tc 2.69
In: 0.5000 0.0000 0.5000  2 Tc 2.69
Tc: 0.5000 0.5000 0.5000  2 Sb 2.62, 4 In 2.69
Sb: 0.5000 0.5000 0.0000  2 Tc 2.62

Calculated values
**Formation energy (no corrections)**: -0.01 eV per atom
**Crystal system**: tetragonal
**Final energy**: -4.175 eV/atom


(6)
DFT (GGA-PBE) results for a geometry-optimized Zr2BeW structure.

a = 3.2894 Å, b = 3.2894 Å, c = 6.5172 Å
α = 90.00°, β = 90.00°, γ = 90.00°
Closest atoms and distances in Å follow each position.
Positions (direct):
Zr: 0.0000 0.0000 0.0000  1 Be 2.77, 4 W 2.92
Zr: 0.5000 0.5000 0.3298  1 W 2.61, 4 Be 2.82
Be: 0.0000 0.0000 0.5752  4 W 2.53, 5 Zr 2.77-2.82
W: 0.5000 0.5000 0.7296  4 Be 2.53, 1 Zr 2.61

Calculated values
**Crystal system**: tetragonal
**Energy of formation**: 0.15 eV per atom
**Final energy**: -8.296 eV/atom


(7)
DFT (GGA-PBE) results for a geometry-optimized Mg2CdGaAg5 structure.

a = 7.9981 Å, b = 7.9981 Å, c = 7.9981 Å
α = 120.36°, β = 120.36°, γ = 89.39°
Closest atoms and distances in Å follow each position.
Positions (direct):
Mg: 0.1186 0.6186 0.7373  2 Ag 2.60, 1 Mg 2.67
Mg: 0.3814 0.1186 0.5000  2 Ag 2.60, 1 Mg 2.67
Mg: 0.6186 0.8814 0.5000  2 Ag 2.60, 1 Mg 2.67
Mg: 0.8814 0.3814 0.2627  2 Ag 2.60, 1 Mg 2.67
Cd: 0.2500 0.2500 0.0000  10 Ag 2.84-3.18
Cd: 0.7500 0.7500 0.0000  10 Ag 2.84-3.18
Ga: 0.2500 0.7500 0.5000  4 Ag 2.55
Ga: 0.7500 0.2500 0.5000  4 Ag 2.55
Ag: 0.0000 0.0000 0.0000  2 Cd 2.84, 4 Mg 3.18
Ag: 0.0604 0.1736 0.5000  1 Ga 2.55, 1 Mg 2.60
Ag: 0.1736 0.6736 0.1132  1 Ga 2.55, 1 Mg 2.60
Ag: 0.3264 0.4396 0.5000  1 Ga 2.55, 1 Mg 2.60
Ag: 0.4396 0.9396 0.1132  1 Ga 2.55, 1 Mg 2.60
Ag: 0.5000 0.5000 0.0000  2 Cd 2.84, 4 Mg 3.18
Ag: 0.5604 0.0604 0.8868  1 Ga 2.55, 1 Mg 2.60
Ag: 0.6736 0.5604 0.5000  1 Ga 2.55, 1 Mg 2.60
Ag: 0.8264 0.3264 0.8868  1 Ga 2.55, 1 Mg 2.60
Ag: 0.9396 0.8264 0.5000  1 Ga 2.55, 1 Mg 2.60

Calculated values
**Crystal system**: tetragonal
**Energy of formation**: 0.06 eV per atom
**Final energy**: -2.312 eV/atom


(8)
DFT (GGA-PBE) results for a geometry-optimized HfAs2I structure.

a = 4.9822 Å, b = 4.9822 Å, c = 4.9822 Å
α = 60.00°, β = 60.00°, γ = 60.00°
Closest atoms and distances in Å follow each position.
Positions (direct):
Hf: 0.0000 0.0000 0.0000  8 As 3.05
As: 0.2500 0.2500 0.2500  4 Hf 3.05, 4 I 3.05
As: 0.7500 0.7500 0.7500  4 Hf 3.05, 4 I 3.05
I: 0.5000 0.5000 0.5000  8 As 3.05

Calculated values
**Formation energy (no corrections)**: 0.39 eV per atom
**Crystal system**: cubic
**Final energy**: -4.808 eV/atom


(9)
DFT (GGA-PBE) results for a geometry-optimized Zr3ScN structure.

a = 4.5794 Å, b = 4.5794 Å, c = 4.5794 Å
α = 90.00°, β = 90.00°, γ = 90.00°
Closest atoms and distances in Å follow each position.
Positions (direct):
Zr: 0.0000 0.0000 0.5000  2 N 2.29
Zr: 0.0000 0.5000 0.0000  2 N 2.29
Zr: 0.5000 0.0000 0.0000  2 N 2.29
Sc: 0.5000 0.5000 0.5000  12 Zr 3.24
N: 0.0000 0.0000 0.0000  6 Zr 2.29

Calculated values
**Formation energy (no corrections)**: -0.69 eV per atom
**Crystal system**: cubic
**Final energy**: -8.755 eV/atom


(10)
DFT (GGA-PBE) results for a geometry-optimized AcAl4Cu4 structure.

a = 6.4398 Å, b = 6.4398 Å, c = 6.4398 Å
α = 96.87°, β = 96.87°, γ = 139.52°
Closest atoms and distances in Å follow each position.
Positions (direct):
Ac: 0.0000 0.0000 0.0000  4 Cu 3.28, 4 Al 3.55
Al: 0.1174 0.6020 0.7194  4 Cu 2.41-2.49, 1 Al 2.66
Al: 0.3980 0.1174 0.5154  4 Cu 2.41-2.49, 1 Al 2.66
Al: 0.6020 0.8826 0.4846  4 Cu 2.41-2.49, 1 Al 2.66
Al: 0.8826 0.3980 0.2806  4 Cu 2.41-2.49, 1 Al 2.66
Cu: 0.2058 0.3243 0.5301  4 Al 2.41-2.49, 2 Cu 2.67
Cu: 0.3243 0.7942 0.1184  4 Al 2.41-2.49, 2 Cu 2.67
Cu: 0.6757 0.2058 0.8816  4 Al 2.41-2.49, 2 Cu 2.67
Cu: 0.7942 0.6757 0.4699  4 Al 2.41-2.49, 2 Cu 2.67

Calculated values
**Crystal system**: tetragonal
**Energy of formation**: -0.25 eV per atom
**Final energy**: -4.192 eV/atom


(11)
DFT (GGA-PBE) results for a geometry-optimized HWAu structure.

a = 5.5899 Å, b = 3.5762 Å, c = 8.6684 Å
α = 90.00°, β = 90.00°, γ = 90.00°
Closest atoms and distances in Å follow each position.
Positions (direct):
H: 0.0139 0.2500 0.1301  3 W 1.86-1.97
H: 0.4861 0.7500 0.6301  3 W 1.86-1.97
H: 0.5139 0.2500 0.3699  3 W 1.86-1.97
H: 0.9861 0.7500 0.8699  3 W 1.86-1.97
W: 0.1227 0.7500 0.0661  3 H 1.86-1.97
W: 0.3773 0.2500 0.5661  3 H 1.86-1.97
W: 0.6227 0.7500 0.4339  3 H 1.86-1.97
W: 0.8773 0.2500 0.9339  3 H 1.86-1.97
Au: 0.0996 0.7500 0.3755  5 W 2.69-2.97, 4 H 2.82-2.93
Au: 0.4004 0.2500 0.8755  5 W 2.69-2.97, 4 H 2.82-2.93
Au: 0.5996 0.7500 0.1245  5 W 2.69-2.97, 4 H 2.82-2.93
Au: 0.9004 0.2500 0.6245  5 W 2.69-2.97, 4 H 2.82-2.93

Calculated values
**Crystal system**: orthorhombic
**Final energy**: -6.062 eV/atom


(12)
DFT (GGA-PBE) results for a geometry-optimized CaTm2Au4 structure.

a = 6.0651 Å, b = 6.0651 Å, c = 6.0651 Å
α = 109.12°, β = 109.12°, γ = 110.19°
Closest atoms and distances in Å follow each position.
Positions (direct):
Ca: 0.0000 0.0000 0.0000  8 Au 3.03
Tm: 0.0000 0.5000 0.5000  8 Au 3.03
Tm: 0.5000 0.0000 0.5000  8 Au 3.03
Au: 0.0000 0.0000 0.5000  2 Ca 3.03, 4 Tm 3.03
Au: 0.0000 0.5000 0.0000  2 Ca 3.03, 4 Tm 3.03
Au: 0.5000 0.0000 0.0000  2 Ca 3.03, 4 Tm 3.03
Au: 0.5000 0.5000 0.5000  2 Ca 3.03, 4 Tm 3.03

Calculated values
**Crystal system**: tetragonal
**Energy of formation**: -0.64 eV per atom
**Final energy**: -4.079 eV/atom


(13)
DFT (GGA-PBE) results for a geometry-optimized Tb2Dy2Er5 structure.

a = 9.9633 Å, b = 9.9633 Å, c = 9.9633 Å
α = 84.33°, β = 108.82°, γ = 140.93°
Closest atoms and distances in Å follow each position.
Positions (direct):
Tb: 0.0061 0.1273 0.1334  4 Er 3.26-3.60, 2 Dy 3.50-3.54, 1 Tb 3.62
Tb: 0.0061 0.3727 0.3787  4 Er 3.26-3.60, 2 Dy 3.50-3.54, 1 Tb 3.62
Tb: 0.9939 0.6273 0.6213  4 Er 3.26-3.60, 2 Dy 3.50-3.54, 1 Tb 3.62
Tb: 0.9939 0.8727 0.8666  4 Er 3.26-3.60, 2 Dy 3.50-3.54, 1 Tb 3.62
Dy: 0.4508 0.4508 0.0000  4 Er 3.22-3.57, 2 Tb 3.54
Dy: 0.4508 0.9508 0.5000  4 Er 3.22-3.57, 2 Tb 3.54
Dy: 0.5386 0.8025 0.2361  4 Er 3.31-3.67, 2 Tb 3.50
Dy: 0.5664 0.3025 0.7639  4 Er 3.31-3.67, 2 Tb 3.50
Er: 0.0933 0.4745 0.9042  4 Er 3.13-3.34, 1 Tb 3.31, 1 Dy 3.39
Er: 0.0933 0.6891 0.1189  4 Er 3.13-3.34, 1 Tb 3.31, 1 Dy 3.39
Er: 0.0995 0.0949 0.5046  6 Er 3.19-3.56, 1 Dy 3.31, 2 Tb 3.56
Er: 0.4075 0.2039 0.3090  4 Er 3.13-3.34, 1 Dy 3.22, 1 Tb 3.26
Er: 0.4075 0.5985 0.7036  4 Er 3.13-3.34, 1 Dy 3.22, 1 Tb 3.26
Er: 0.5702 0.1891 0.0958  4 Er 3.13-3.34, 1 Tb 3.31, 1 Dy 3.39
Er: 0.5702 0.9745 0.8811  4 Er 3.13-3.34, 1 Tb 3.31, 1 Dy 3.39
Er: 0.5903 0.5949 0.4954  6 Er 3.19-3.56, 1 Dy 3.31, 2 Tb 3.56
Er: 0.8949 0.0985 0.6910  4 Er 3.13-3.34, 1 Dy 3.22, 1 Tb 3.26
Er: 0.8949 0.7039 0.2964  4 Er 3.13-3.34, 1 Dy 3.22, 1 Tb 3.26

Calculated values
**Crystal system**: orthorhombic
**Energy of formation**: 0.23 eV per atom
**Final energy**: -4.361 eV/atom


(14)
DFT (GGA-PBE) results for a geometry-optimized K2Be2PbF8 structure.

a = 7.6224 Å, b = 7.6224 Å, c = 7.6224 Å
α = 42.48°, β = 42.48°, γ = 42.48°
Closest atoms and distances in Å follow each position.
Positions (direct):
K: 0.2030 0.2030 0.2030  10 F 2.58-2.87
K: 0.7970 0.7970 0.7970  10 F 2.58-2.87
Be: 0.4017 0.4017 0.4017  4 F 1.55-1.58
Be: 0.5983 0.5983 0.5983  4 F 1.55-1.58
Pb: 0.0000 0.0000 0.0000  6 F 2.59
F: 0.2624 0.7283 0.7283  1 Be 1.58
F: 0.2717 0.2717 0.7376  1 Be 1.58
F: 0.2717 0.7376 0.2717  1 Be 1.58
F: 0.3273 0.3273 0.3273  1 Be 1.55
F: 0.6727 0.6727 0.6727  1 Be 1.55
F: 0.7283 0.2624 0.7283  1 Be 1.58
F: 0.7283 0.7283 0.2624  1 Be 1.58
F: 0.7376 0.2717 0.2717  1 Be 1.58

Calculated values
**Formation energy (no corrections)**: -2.98 eV per atom
**Crystal system**: trigonal
**Final energy**: -5.163 eV/atom


(15)
DFT (GGA-PBE) results for a geometry-optimized LiNi2Pt structure.

a = 2.6745 Å, b = 2.6745 Å, c = 7.1515 Å
α = 90.00°, β = 90.00°, γ = 90.00°
Closest atoms and distances in Å follow each position.
Positions (direct):
Li: 0.0000 0.0000 0.0000  8 Ni 2.59, 4 Li 2.67
Ni: 0.5000 0.5000 0.2470  4 Li 2.59, 4 Pt 2.62, 4 Ni 2.67
Ni: 0.5000 0.5000 0.7530  4 Li 2.59, 4 Pt 2.62, 4 Ni 2.67
Pt: 0.0000 0.0000 0.5000  8 Ni 2.62, 4 Pt 2.67

Calculated values
**Crystal system**: tetragonal
**Energy of formation**: 0.00 eV per atom
**Final energy**: -4.884 eV/atom


(16)
DFT (GGA-PBE) results for a geometry-optimized Mn4SiHg structure.

a = 4.8400 Å, b = 4.8400 Å, c = 4.8400 Å
α = 60.00°, β = 60.00°, γ = 60.00°
Closest atoms and distances in Å follow each position.
Positions (direct):
Mn: 0.1239 0.1239 0.1239  6 Mn 2.40-2.44
Mn: 0.1239 0.1239 0.6284  6 Mn 2.40-2.44
Mn: 0.1239 0.6284 0.1239  6 Mn 2.40-2.44
Mn: 0.6284 0.1239 0.1239  6 Mn 2.40-2.44
Si: 0.7500 0.7500 0.7500  12 Mn 2.84, 4 Hg 2.96
Hg: 0.5000 0.5000 0.5000  12 Mn 2.84, 4 Si 2.96

Calculated values
**Formation energy (no corrections)**: 0.48 eV per atom
**Crystal system**: cubic
**Final energy**: -6.590 eV/atom


(17)
DFT (GGA-PBE) results for a geometry-optimized PmUMo structure.

a = 5.9400 Å, b = 5.9400 Å, c = 5.9400 Å
α = 90.52°, β = 90.52°, γ = 90.52°
Closest atoms and distances in Å follow each position.
Positions (direct):
Pm: 0.0688 0.3161 0.6151  3 U 3.07-3.39, 5 Mo 3.08-3.36
Pm: 0.3161 0.6151 0.0688  3 U 3.07-3.39, 5 Mo 3.08-3.36
Pm: 0.6151 0.0688 0.3161  3 U 3.07-3.39, 5 Mo 3.08-3.36
U: 0.0636 0.0636 0.0636  1 U 2.50
U: 0.5567 0.5567 0.5567  3 Mo 2.46, 1 U 2.66
U: 0.8180 0.8180 0.8180  2 U 2.50-2.66
Mo: 0.2473 0.8277 0.5887  1 U 2.46
Mo: 0.5887 0.2473 0.8277  1 U 2.46
Mo: 0.8277 0.5887 0.2473  1 U 2.46

Calculated values
**Crystal system**: trigonal
**Energy of formation**: 0.47 eV per atom
**Final energy**: -8.489 eV/atom


(18)
DFT (GGA-PBE) results for a geometry-optimized CdCu structure.

a = 5.1224 Å, b = 5.1224 Å, c = 4.6431 Å
α = 106.74°, β = 106.74°, γ = 34.67°
Closest atoms and distances in Å follow each position.
Positions (direct):
Cd: 0.1078 0.1078 0.3303  7 Cu 2.78-2.83, 3 Cd 2.99-3.05
Cd: 0.8922 0.8922 0.6697  7 Cu 2.78-2.83, 3 Cd 2.99-3.05
Cu: 0.3527 0.3527 0.1398  2 Cu 2.54, 7 Cd 2.78-2.83
Cu: 0.6473 0.6473 0.8602  2 Cu 2.54, 7 Cd 2.78-2.83

Calculated values
**Crystal system**: monoclinic
**Energy of formation**: 0.06 eV per atom
**Final energy**: -2.442 eV/atom


(19)
DFT (GGA-PBE) results for a geometry-optimized K5O3 structure.

a = 7.8059 Å, b = 7.8059 Å, c = 6.5720 Å
α = 90.00°, β = 90.00°, γ = 120.00°
Closest atoms and distances in Å follow each position.
Positions (direct):
K: 0.0000 0.2817 0.2500  3 O 2.65-2.66
K: 0.0000 0.7183 0.7500  3 O 2.65-2.66
K: 0.2817 0.0000 0.2500  3 O 2.65-2.66
K: 0.2817 0.2817 0.7500  3 O 2.65-2.66
K: 0.3333 0.6667 0.0000  6 O 2.95, 8 K 3.27-3.29
K: 0.3333 0.6667 0.5000  6 O 2.95, 8 K 3.27-3.29
K: 0.6667 0.3333 0.0000  6 O 2.95, 8 K 3.27-3.29
K: 0.6667 0.3333 0.5000  6 O 2.95, 8 K 3.27-3.29
K: 0.7183 0.0000 0.7500  3 O 2.65-2.66
K: 0.7183 0.7183 0.2500  3 O 2.65-2.66
O: 0.0000 0.3777 0.7500  7 K 2.65-2.95
O: 0.0000 0.6223 0.2500  7 K 2.65-2.95
O: 0.3777 0.0000 0.7500  7 K 2.65-2.95
O: 0.3777 0.3777 0.2500  7 K 2.65-2.95
O: 0.6223 0.0000 0.2500  7 K 2.65-2.95
O: 0.6223 0.6223 0.7500  7 K 2.65-2.95

Calculated values
**Formation energy (no corrections)**: -0.94 eV per atom
**Crystal system**: hexagonal
**Final energy**: -3.487 eV/atom


(20)
DFT (GGA-PBE) results for a geometry-optimized Hf8ZnPt2 structure.

a = 7.6203 Å, b = 7.6203 Å, c = 4.8605 Å
α = 100.21°, β = 100.21°, γ = 118.19°
Closest atoms and distances in Å follow each position.
Positions (direct):
Hf: 0.0945 0.3198 0.5945  2 Pt 2.71-2.95, 1 Hf 2.95
Hf: 0.2223 0.7777 0.0000  2 Pt 2.66, 1 Zn 2.91
Hf: 0.3198 0.0945 0.5945  2 Pt 2.71-2.95, 1 Hf 2.95
Hf: 0.3908 0.3908 0.1905  1 Zn 2.87, 6 Hf 2.90-3.17, 2 Pt 2.93
Hf: 0.6092 0.6092 0.8095  1 Zn 2.87, 6 Hf 2.90-3.17, 2 Pt 2.93
Hf: 0.6802 0.9055 0.4055  2 Pt 2.71-2.95, 1 Hf 2.95
Hf: 0.7777 0.2223 0.0000  2 Pt 2.66, 1 Zn 2.91
Hf: 0.9055 0.6802 0.4055  2 Pt 2.71-2.95, 1 Hf 2.95
Zn: 0.0000 0.0000 0.0000  8 Hf 2.87-3.15
Pt: 0.3053 0.6947 0.5000  8 Hf 2.66-2.95
Pt: 0.6947 0.3053 0.5000  8 Hf 2.66-2.95

Calculated values
**Crystal system**: monoclinic
**Energy of formation**: -0.24 eV per atom
**Final energy**: -8.689 eV/atom